No. 1
Entry from the Alexandria database: an optimized crystal structure of Tb4US5 (PBE).

Properties
DFT total energy   -6.9221 eV per atom
Formation energy from raw total energies   -1877 meV per atom
Magnetic moment   2.44 μB per formula unit

Cell: 3.913 3.913 27.681 Å, 90.00 90.00 90.00°
Space group I4/mmm (No. 139)
One atom of each set of equivalent atoms:
Tb (0.000, 0.000, 0.099) x4
Tb (0.000, 0.000, 0.302) x4
U (0.000, 0.000, 0.500) x2
S (0.000, 0.000, 0.000) x2
S (0.000, 0.000, 0.201) x4
S (0.000, 0.000, 0.401) x4

---

No. 2
Entry from the Alexandria database: an optimized crystal structure of Y3HoPt12 (PBE).

Properties
DFT total energy   -7.0393 eV per atom
ΔE_f   -23.304 kcal/mol of atoms
Magnetic moment   0.00 μB per formula unit

Cell: 4.129 4.129 16.446 Å, 90.00 90.00 90.00°
Space group P4/mmm (No. 123)
One atom of each set of equivalent atoms:
Y (0.000, 0.000, 0.000) x1
Y (0.000, 0.000, 0.251) x2
Ho (0.000, 0.000, 0.500) x1
Pt (0.000, 0.500, 0.125) x4
Pt (0.000, 0.500, 0.376) x4
Pt (0.500, 0.500, 0.000) x1
Pt (0.500, 0.500, 0.251) x2
Pt (0.500, 0.500, 0.500) x1

---

No. 3
Entry from the Alexandria database: an optimized crystal structure of HfMo2W3 (PBE).

Properties
DFT total energy   -11.5104 eV per atom
ΔE_f   5.429 kcal/mol of atoms
Magnetic moment   0.00 μB per formula unit

Cell: 18.114 3.163 7.861 Å, 90.00 112.69 90.00°
Space group C2/m (No. 12)
One atom of each set of equivalent atoms:
Hf (0.138, 0.000, 0.149) x4
Mo (0.013, 0.500, 0.866) x4
Mo (0.230, 0.000, 0.629) x4
W (0.062, 0.000, 0.668) x4
W (0.106, 0.500, 0.445) x4
W (0.192, 0.500, 0.889) x4

---

No. 4
Entry from the Alexandria database: an optimized crystal structure of LaReAu2Cl (PBE).

Properties
DFT total energy   -3.8095 eV per atom
Formation energy from raw total energies   1346 meV per atom
Magnetic moment   5.00 μB per formula unit

Cell: 5.616 5.616 6.425 Å, 90.00 90.00 90.00°
Space group P4/mmm (No. 123)
One atom of each set of equivalent atoms:
La (0.000, 0.000, 0.000) x1
Re (0.000, 0.000, 0.500) x1
Au (0.000, 0.500, 0.000) x2
Cl (0.500, 0.500, 0.500) x1

---

No. 5
Entry from the Alexandria database: an optimized crystal structure of Ac2GdY (PBE).

Properties
DFT total energy   -7.1062 eV per atom
ΔE_f   1.942 kcal/mol of atoms
Magnetic moment   7.69 μB per formula unit

Cell: 8.504 8.504 8.504 Å, 90.00 90.00 90.00°
Space group Fm-3m (No. 225)
One atom of each set of equivalent atoms:
Ac (0.250, 0.250, 0.250) x8
Gd (0.000, 0.000, 0.000) x4
Y (0.000, 0.000, 0.500) x4

---

No. 6
Entry from the Alexandria database: an optimized crystal structure of GaSiOs2 (PBE).

Properties
DFT total energy   -7.2090 eV per atom
Formation energy from raw total energies   518 meV per atom
Magnetic moment   0.00 μB per formula unit

Cell: 3.933 3.933 16.933 Å, 90.00 90.00 90.00°
Space group I-42d (No. 122)
One atom of each set of equivalent atoms:
Ga (0.000, 0.000, 0.000) x4
Si (0.000, 0.000, 0.500) x4
Os (0.195, 0.250, 0.625) x8

---

No. 7
Entry from the Alexandria database: an optimized crystal structure of ZrGaRuAu (PBE).

Properties
DFT total energy   -6.3543 eV per atom
ΔE_f   -7.432 kcal/mol of atoms
Magnetic moment   0.00 μB per formula unit

Cell: 6.504 6.504 6.504 Å, 90.00 90.00 90.00°
Space group F-43m (No. 216)
One atom of each set of equivalent atoms:
Zr (0.000, 0.000, 0.000) x4
Ga (0.000, 0.000, 0.500) x4
Ru (0.250, 0.250, 0.750) x4
Au (0.250, 0.250, 0.250) x4

---

No. 8
Entry from the Alexandria database: an optimized crystal structure of Pm3Er2Tm4 (PBE).

Properties
DFT total energy   -4.5607 eV per atom
ΔE_f   0.556 kcal/mol of atoms
Magnetic moment   0.00 μB per formula unit

Cell: 15.051 5.016 7.920 Å, 90.00 108.31 90.00°
Space group C2/m (No. 12)
One atom of each set of equivalent atoms:
Pm (0.000, 0.000, 0.000) x2
Pm (0.112, 0.000, 0.665) x4
Er (0.057, 0.500, 0.333) x4
Tm (0.167, 0.500, 0.000) x4
Tm (0.222, 0.000, 0.332) x4

---

> Number 5 is which compound?

Ac2GdY

---

> Which of these has the lowest DFT total energy?

HfMo2W3

---

> What is the DFT total energy in the second record?

-7.0393 eV per atom